# Nd2Te2W2O13

A relaxed Nd2Te2W2O13 crystal (PBE+U, Alexandria).

Cell and atoms, written as POSCAR:
```
Nd2Te2W2O13
1.0
-6.271 -2.065 1.276
1.629 -5.779 -3.578
5.215 -4.361 9.665
Nd Te W O
4 4 4 26
Direct
0.769 0.871 0.883
0.631 0.374 0.367
0.369 0.626 0.633
0.231 0.129 0.117
0.245 0.610 0.948
0.755 0.390 0.052
0.169 0.181 0.439
0.831 0.819 0.561
0.110 0.627 0.299
0.246 0.115 0.813
0.890 0.373 0.701
0.754 0.885 0.187
0.425 0.674 0.843
0.176 0.754 0.436
0.924 0.163 0.802
0.792 0.052 0.309
0.154 0.949 0.930
0.014 0.417 0.148
0.008 0.391 0.377
0.575 0.326 0.157
0.076 0.837 0.198
0.846 0.051 0.070
0.266 0.328 0.951
0.204 0.344 0.719
0.734 0.672 0.049
0.620 0.654 0.488
0.486 0.901 0.143
0.351 0.548 0.279
0.679 0.850 0.682
0.208 0.948 0.691
0.796 0.656 0.281
0.380 0.346 0.512
0.321 0.150 0.318
0.992 0.609 0.623
0.649 0.452 0.721
0.824 0.246 0.564
0.514 0.099 0.857
0.986 0.583 0.852
```

Computed properties:
As for the density of states at the Fermi level: 0.0 states/eV/cell. The total energy is -7.12 eV/atom. For the volume, the calculation gives 548.57 Å³ per cell. The theoretical density is 6.777 g/cm3.